# KPaTe3Au (PBE, relaxed)
data_KPaTe3Au
_space_group_name_H-M_alt 'P 1'
_space_group_IT_number 1
_space_group_name_Hall 'P 1'
_cell_length_a 4.374
_cell_length_b 8.359
_cell_length_c 11.404
_cell_angle_alpha 90.00
_cell_angle_beta 90.00
_cell_angle_gamma 105.17
loop_
_atom_site_label
_atom_site_type_symbol
_atom_site_fract_x
_atom_site_fract_y
_atom_site_fract_z
Te1 Te 0.076 0.152 0.750
Te2 Te 0.368 0.736 0.551
Te3 Te 0.632 0.264 0.449
Te4 Te 0.632 0.264 0.051
Te5 Te 0.924 0.848 0.250
Te6 Te 0.368 0.736 0.949
Au1 Au 0.534 0.069 0.250
Au2 Au 0.466 0.931 0.750
Pa1 Pa 0.000 0.000 0.000
Pa2 Pa 0.000 0.000 0.500
K1 K 0.241 0.482 0.250
K2 K 0.759 0.518 0.750
# ΔE_f (raw)   -0.805 eV/atom
# Space-group type   Cmcm (63)
# Density   7.01 g/cm3

# KPbAu2 (PBE, relaxed)
data_KPbAu2
_space_group_name_H-M_alt 'P 1'
_space_group_IT_number 1
_space_group_name_Hall 'P 1'
_cell_length_a 4.475
_cell_length_b 4.377
_cell_length_c 5.958
_cell_angle_alpha 69.76
_cell_angle_beta 90.00
_cell_angle_gamma 90.00
loop_
_atom_site_label
_atom_site_type_symbol
_atom_site_fract_x
_atom_site_fract_y
_atom_site_fract_z
Au1 Au 0.000 0.190 0.961
Au2 Au 0.500 0.040 0.295
K1 K 0.000 0.487 0.409
Pb1 Pb 0.500 0.783 0.835
# Space-group type   Pm (6)
# Formation enthalpy at 0 K   -0.1424 eV per atom
# Density   9.71 g/cm3

# KPb12Au5 (PBE, relaxed)
data_KPb12Au5
_space_group_name_H-M_alt 'P 1'
_space_group_IT_number 1
_space_group_name_Hall 'P 1'
_cell_length_a 8.803
_cell_length_b 8.803
_cell_length_c 8.803
_cell_angle_alpha 100.29
_cell_angle_beta 113.93
_cell_angle_gamma 114.57
loop_
_atom_site_label
_atom_site_type_symbol
_atom_site_fract_x
_atom_site_fract_y
_atom_site_fract_z
Pb1 Pb 0.302 0.683 0.985
Pb2 Pb 0.092 0.821 0.271
Pb3 Pb 0.798 0.567 0.769
Pb4 Pb 0.202 0.433 0.231
Pb5 Pb 0.908 0.179 0.729
Pb6 Pb 0.451 0.179 0.271
Pb7 Pb 0.302 0.317 0.619
Pb8 Pb 0.698 0.683 0.381
Pb9 Pb 0.549 0.821 0.729
Pb10 Pb 0.202 0.971 0.769
Pb11 Pb 0.798 0.029 0.231
Pb12 Pb 0.698 0.317 0.015
Au1 Au 0.500 0.875 0.375
Au2 Au 0.500 0.125 0.625
Au3 Au 0.349 0.349 0.000
Au4 Au 0.651 0.651 0.000
Au5 Au 0.000 0.000 0.000
K1 K 0.000 0.500 0.500
# Space-group type   Immm (71)
# Formation enthalpy at 0 K   -0.0527 eV per atom
# Density   11.31 g/cm3

# KPbAu (PBE, relaxed)
data_KPbAu
_space_group_name_H-M_alt 'P 1'
_space_group_IT_number 1
_space_group_name_Hall 'P 1'
_cell_length_a 3.517
_cell_length_b 6.959
_cell_length_c 7.934
_cell_angle_alpha 90.00
_cell_angle_beta 76.89
_cell_angle_gamma 90.00
loop_
_atom_site_label
_atom_site_type_symbol
_atom_site_fract_x
_atom_site_fract_y
_atom_site_fract_z
Au1 Au 0.257 0.163 0.329
Au2 Au 0.257 0.699 0.329
K1 K 0.085 0.431 0.670
K2 K 0.919 0.931 0.007
Pb1 Pb 0.641 0.931 0.556
Pb2 Pb 0.857 0.431 0.136
# Space-group type   Pm (6)
# Formation enthalpy at 0 K   -0.1815 eV per atom
# Density   7.79 g/cm3

# KPbAu2 (PBE, relaxed)
data_KPbAu2
_space_group_name_H-M_alt 'P 1'
_space_group_IT_number 1
_space_group_name_Hall 'P 1'
_cell_length_a 4.836
_cell_length_b 4.836
_cell_length_c 6.661
_cell_angle_alpha 68.77
_cell_angle_beta 68.77
_cell_angle_gamma 59.94
loop_
_atom_site_label
_atom_site_type_symbol
_atom_site_fract_x
_atom_site_fract_y
_atom_site_fract_z
Pb1 Pb 0.295 0.295 0.117
K1 K 0.490 0.490 0.529
Au1 Au 0.691 0.691 0.926
Au2 Au 0.024 0.024 0.927
# Space-group type   Cm (8)
# Formation enthalpy at 0 K   -0.2110 eV per atom
# Density   8.68 g/cm3

# K3Pb4Au2 (PBE, relaxed)
data_K3Pb4Au2
_space_group_name_H-M_alt 'P 1'
_space_group_IT_number 1
_space_group_name_Hall 'P 1'
_cell_length_a 4.747
_cell_length_b 7.190
_cell_length_c 11.121
_cell_angle_alpha 63.80
_cell_angle_beta 77.76
_cell_angle_gamma 70.58
loop_
_atom_site_label
_atom_site_type_symbol
_atom_site_fract_x
_atom_site_fract_y
_atom_site_fract_z
Pb1 Pb 0.081 0.486 0.351
Pb2 Pb 0.290 0.334 0.090
Pb3 Pb 0.919 0.514 0.649
Pb4 Pb 0.710 0.666 0.910
Au1 Au 0.339 0.529 0.791
Au2 Au 0.661 0.471 0.209
K1 K 0.366 0.871 0.393
K2 K 0.634 0.129 0.607
K3 K 0.000 0.000 0.000
# Space-group type   P-1 (2)
# Formation enthalpy at 0 K   -0.1842 eV per atom
# Density   6.95 g/cm3

# KPb2Au9 (PBE, relaxed)
data_KPb2Au9
_space_group_name_H-M_alt 'P 1'
_space_group_IT_number 1
_space_group_name_Hall 'P 1'
_cell_length_a 5.850
_cell_length_b 5.850
_cell_length_c 9.620
_cell_angle_alpha 72.30
_cell_angle_beta 72.30
_cell_angle_gamma 60.00
loop_
_atom_site_label
_atom_site_type_symbol
_atom_site_fract_x
_atom_site_fract_y
_atom_site_fract_z
Pb1 Pb 0.148 0.148 0.557
Pb2 Pb 0.852 0.852 0.443
Au1 Au 0.080 0.586 0.747
Au2 Au 0.920 0.414 0.253
Au3 Au 0.414 0.414 0.253
Au4 Au 0.666 0.666 0.001
Au5 Au 0.414 0.920 0.253
Au6 Au 0.500 0.500 0.500
Au7 Au 0.586 0.586 0.747
Au8 Au 0.334 0.334 0.999
Au9 Au 0.586 0.080 0.747
K1 K 0.000 0.000 0.000
# Space-group type   R-3m (166)
# Formation enthalpy at 0 K   -0.1277 eV per atom
# Density   13.85 g/cm3

# K3PbAu3 (PBE, relaxed)
data_K3PbAu3
_space_group_name_H-M_alt 'P 1'
_space_group_IT_number 1
_space_group_name_Hall 'P 1'
_cell_length_a 4.862
_cell_length_b 6.588
_cell_length_c 15.556
_cell_angle_alpha 87.64
_cell_angle_beta 81.01
_cell_angle_gamma 68.34
loop_
_atom_site_label
_atom_site_type_symbol
_atom_site_fract_x
_atom_site_fract_y
_atom_site_fract_z
K1 K 0.249 0.276 0.225
K2 K 0.493 0.645 0.368
K3 K 0.751 0.724 0.775
K4 K 0.603 0.720 0.073
K5 K 0.507 0.355 0.632
K6 K 0.397 0.280 0.927
Pb1 Pb 0.234 0.941 0.591
Pb2 Pb 0.766 0.059 0.409
Au1 Au 0.107 0.863 0.923
Au2 Au 0.945 0.879 0.231
Au3 Au 0.055 0.121 0.769
Au4 Au 0.876 0.711 0.537
Au5 Au 0.893 0.137 0.077
Au6 Au 0.124 0.289 0.463
# Space-group type   C2/m (12)
# Formation enthalpy at 0 K   -0.2751 eV per atom
# Density   6.65 g/cm3

# K3Pb2Au7 (PBE, relaxed)
data_K3Pb2Au7
_space_group_name_H-M_alt 'P 1'
_space_group_IT_number 1
_space_group_name_Hall 'P 1'
_cell_length_a 5.904
_cell_length_b 5.904
_cell_length_c 10.516
_cell_angle_alpha 73.70
_cell_angle_beta 73.70
_cell_angle_gamma 60.00
loop_
_atom_site_label
_atom_site_type_symbol
_atom_site_fract_x
_atom_site_fract_y
_atom_site_fract_z
Au1 Au 0.909 0.413 0.265
Au2 Au 0.091 0.587 0.735
Au3 Au 0.587 0.091 0.735
Au4 Au 0.587 0.587 0.735
Au5 Au 0.413 0.909 0.265
Au6 Au 0.413 0.413 0.265
Au7 Au 0.500 0.500 0.500
Pb1 Pb 0.328 0.328 0.016
Pb2 Pb 0.672 0.672 0.984
K1 K 0.000 0.000 0.000
K2 K 0.857 0.857 0.430
K3 K 0.143 0.143 0.570
# Space-group type   R-3m (166)
# Formation enthalpy at 0 K   -0.2039 eV per atom
# Density   10.56 g/cm3

# KPb3Au (PBE, relaxed)
data_KPb3Au
_space_group_name_H-M_alt 'P 1'
_space_group_IT_number 1
_space_group_name_Hall 'P 1'
_cell_length_a 6.990
_cell_length_b 6.491
_cell_length_c 7.056
_cell_angle_alpha 89.99
_cell_angle_beta 90.02
_cell_angle_gamma 90.00
loop_
_atom_site_label
_atom_site_type_symbol
_atom_site_fract_x
_atom_site_fract_y
_atom_site_fract_z
Pb1 Pb 0.463 0.890 0.443
Pb2 Pb 0.333 0.318 0.201
Pb3 Pb 0.462 0.890 0.959
Pb4 Pb 0.963 0.463 0.943
Pb5 Pb 0.962 0.462 0.459
Pb6 Pb 0.833 0.035 0.701
Au1 Au 0.156 0.772 0.700
Au2 Au 0.656 0.581 0.201
K1 K 0.964 0.961 0.201
K2 K 0.464 0.392 0.701
# Space-group type   Pmn2_1 (31)
# Formation enthalpy at 0 K   -0.1098 eV per atom
# Density   8.90 g/cm3

# KPbAu2 (PBE, relaxed)
data_KPbAu2
_space_group_name_H-M_alt 'P 1'
_space_group_IT_number 1
_space_group_name_Hall 'P 1'
_cell_length_a 6.473
_cell_length_b 6.473
_cell_length_c 6.473
_cell_angle_alpha 150.19
_cell_angle_beta 128.75
_cell_angle_gamma 60.42
loop_
_atom_site_label
_atom_site_type_symbol
_atom_site_fract_x
_atom_site_fract_y
_atom_site_fract_z
Pb1 Pb 0.213 0.713 0.500
Au1 Au 0.992 0.992 0.000
Au2 Au 0.789 0.289 0.500
K1 K 0.505 0.505 0.000
# Space-group type   Imm2 (44)
# Formation enthalpy at 0 K   -0.1103 eV per atom
# Density   10.19 g/cm3

# K6PbAu (PBE, relaxed)
data_K6PbAu
_space_group_name_H-M_alt 'P 1'
_space_group_IT_number 1
_space_group_name_Hall 'P 1'
_cell_length_a 4.888
_cell_length_b 9.614
_cell_length_c 9.614
_cell_angle_alpha 94.81
_cell_angle_beta 90.00
_cell_angle_gamma 90.00
loop_
_atom_site_label
_atom_site_type_symbol
_atom_site_fract_x
_atom_site_fract_y
_atom_site_fract_z
Pb1 Pb 0.000 0.147 0.853
K1 K 0.000 0.669 0.331
K2 K 0.500 0.906 0.645
K3 K 0.500 0.355 0.094
K4 K 0.000 0.214 0.475
K5 K 0.000 0.525 0.786
K6 K 0.500 0.935 0.065
Au1 Au 0.500 0.249 0.751
# Space-group type   Amm2 (38)
# Formation enthalpy at 0 K   -0.0975 eV per atom
# Density   2.36 g/cm3